1.
## BeTl (PBE-GGA)

Data for a relaxed BeTl crystal.

```
BeTl
1.0
-2.2194 1.6903 -2.7112
3.0339 -2.1587 -3.8294
-6.9478 -9.4274 -0.1900
Be Tl
6 6
Direct
0.0000 0.9332 0.0000
0.5000 0.0669 0.5000
0.5000 0.9741 0.0864
0.0000 0.0259 0.4136
0.5000 0.9741 0.9136
0.0000 0.0259 0.5864
0.0000 0.7579 0.2190
0.0000 0.7579 0.7810
0.5000 0.2421 0.7190
0.5000 0.4543 0.0000
0.0000 0.5457 0.5000
0.5000 0.2421 0.2810
```

## Properties
Total energy ... -2.5785 eV/atom
Calculated volume ... 20.28 A^3/atom
Fermi-level density of states ... 0.32 states/eV per atom
DFT formation energy ... 0.468 eV per atom
Energy above the lowest structure with this stoichiometry ... 30 meV/atom
ρ ... 8.74 g cm⁻³

2.
## BeTl (PBE-GGA)

Data for a relaxed BeTl crystal.

```
BeTl
1.0
7.1041 0.0000 0.0000
0.0000 7.1041 0.0000
0.0000 0.0000 7.1041
Tl Be
6 6
Direct
0.2500 0.5000 0.0000
0.5000 0.0000 0.2500
0.7500 0.5000 0.0000
0.5000 0.0000 0.7500
0.0000 0.2500 0.5000
0.0000 0.7500 0.5000
0.5000 0.7500 0.0000
0.0000 0.5000 0.7500
0.5000 0.2500 0.0000
0.0000 0.5000 0.2500
0.7500 0.0000 0.5000
0.2500 0.0000 0.5000
```

## Properties
Total energy ... -1.9879 eV/atom
Calculated volume ... 29.88 A^3/atom
Fermi-level density of states ... 0.78 states/eV per atom
DFT formation energy ... 1.058 eV per atom
Energy above the lowest structure with this stoichiometry ... 621 meV/atom
ρ ... 5.93 g cm⁻³

3.
## BeTl2 (PBE-GGA)

Data for a relaxed BeTl2 crystal.

```
BeTl2
1.0
6.3040 0.0000 0.0000
-3.1520 5.4595 0.0000
0.0000 0.0000 10.8496
Be Tl
4 8
Direct
0.6667 0.3333 0.4468
0.6667 0.3333 0.0532
0.3333 0.6667 0.9468
0.3333 0.6667 0.5532
0.6659 0.8330 0.7500
0.8330 0.1670 0.2500
0.0000 0.0000 0.0000
0.0000 0.0000 0.5000
0.3341 0.1670 0.2500
0.8330 0.6659 0.2500
0.1670 0.3341 0.7500
0.1670 0.8330 0.7500
```

## Properties
Total energy ... -1.8444 eV/atom
Calculated volume ... 31.12 A^3/atom
Fermi-level density of states ... 0.76 states/eV per atom
DFT formation energy ... 0.975 eV per atom
Energy above the lowest structure with this stoichiometry ... 562 meV/atom
ρ ... 7.43 g cm⁻³

4.
## BeTl2 (PBE-GGA)

Data for a relaxed BeTl2 crystal.

```
BeTl2
1.0
3.5309 0.0000 0.0000
0.0000 6.3923 0.0000
0.0000 0.0000 6.4362
Be Tl
2 4
Direct
0.0000 0.0000 0.0000
0.5000 0.5000 0.5000
0.5000 0.7871 0.7730
0.0000 0.2871 0.7270
0.0000 0.7129 0.2730
0.5000 0.2129 0.2270
```

## Properties
Total energy ... -2.3899 eV/atom
Calculated volume ... 24.21 A^3/atom
Fermi-level density of states ... 0.23 states/eV per atom
DFT formation energy ... 0.430 eV per atom
Energy above the lowest structure with this stoichiometry ... 17 meV/atom
ρ ... 9.55 g cm⁻³

5.
## Be2Tl (PBE-GGA)

Data for a relaxed Be2Tl crystal.

```
Be2Tl
1.0
0.0000 3.5538 3.5538
3.5538 0.0000 3.5538
3.5538 3.5538 0.0000
Be Tl
4 2
Direct
0.6250 0.1250 0.1250
0.1250 0.1250 0.6250
0.1250 0.6250 0.1250
0.1250 0.1250 0.1250
0.5000 0.5000 0.5000
0.7500 0.7500 0.7500
```

## Properties
Total energy ... -2.5741 eV/atom
Calculated volume ... 14.96 A^3/atom
Fermi-level density of states ... 0.48 states/eV per atom
DFT formation energy ... 0.699 eV per atom
Energy above the lowest structure with this stoichiometry ... 429 meV/atom
ρ ... 8.23 g cm⁻³

6.
## Be2Tl (PBE-GGA)

Data for a relaxed Be2Tl crystal.

```
Be2Tl
1.0
-2.1227 2.3212 2.6220
2.1227 -2.3212 2.6220
2.1227 2.3212 -2.6220
Be Tl
2 1
Direct
0.5000 0.7462 0.2462
0.5000 0.2538 0.7538
0.0000 0.0000 0.0000
```

## Properties
Total energy ... -2.4427 eV/atom
Calculated volume ... 17.23 A^3/atom
Fermi-level density of states ... 0.41 states/eV per atom
DFT formation energy ... 0.830 eV per atom
Energy above the lowest structure with this stoichiometry ... 561 meV/atom
ρ ... 7.15 g cm⁻³

7.
## BeTl (PBE-GGA)

Data for a relaxed BeTl crystal.

```
BeTl
1.0
3.3690 0.0000 0.0000
0.0000 3.3690 0.0000
0.0000 0.0000 3.3690
Be Tl
1 1
Direct
0.0000 0.0000 0.0000
0.5000 0.5000 0.5000
```

## Properties
Total energy ... -2.1780 eV/atom
Calculated volume ... 19.12 A^3/atom
Fermi-level density of states ... 0.57 states/eV per atom
DFT formation energy ... 0.868 eV per atom
Energy above the lowest structure with this stoichiometry ... 430 meV/atom
ρ ... 9.27 g cm⁻³

8.
## Be5Tl (PBE-GGA)

Data for a relaxed Be5Tl crystal.

```
Be5Tl
1.0
-2.5658 -3.0062 2.2931
-3.3158 1.4752 2.7764
-4.3807 -0.6094 -1.1478
Tl Be
1 5
Direct
0.0000 0.0000 0.0000
0.2500 0.2500 0.2500
0.1353 0.6216 0.6216
0.6216 0.6216 0.6216
0.6216 0.6216 0.1353
0.6216 0.1353 0.6216
```

## Properties
Total energy ... -2.9816 eV/atom
Calculated volume ... 11.24 A^3/atom
Fermi-level density of states ... 0.25 states/eV per atom
DFT formation energy ... 0.518 eV per atom
Energy above the lowest structure with this stoichiometry ... 166 meV/atom
ρ ... 6.14 g cm⁻³

9.
## BeTl (PBE-GGA)

Data for a relaxed BeTl crystal.

```
BeTl
1.0
-1.3279 4.3845 3.8846
-4.5143 3.9356 -0.4567
1.3095 -5.8511 -0.3562
Tl Be
2 2
Direct
0.7500 0.2500 0.5000
0.5000 0.5000 0.0000
0.0000 0.0000 0.0000
0.2500 0.7500 0.5000
```

## Properties
Total energy ... -2.2042 eV/atom
Calculated volume ... 19.58 A^3/atom
Fermi-level density of states ... 0.40 states/eV per atom
DFT formation energy ... 0.842 eV per atom
Energy above the lowest structure with this stoichiometry ... 404 meV/atom
ρ ... 9.05 g cm⁻³

10.
## Be2Tl (PBE-GGA)

Data for a relaxed Be2Tl crystal.

```
Be2Tl
1.0
1.6789 -6.9194 0.0000
1.6789 6.9194 0.0000
0.0000 0.0000 3.9648
Tl Be
2 4
Direct
0.1135 0.8865 0.7500
0.8865 0.1135 0.2500
0.4579 0.5421 0.7500
0.7711 0.2289 0.7500
0.5421 0.4579 0.2500
0.2289 0.7711 0.2500
```

## Properties
Total energy ... -2.4321 eV/atom
Calculated volume ... 15.35 A^3/atom
Fermi-level density of states ... 0.41 states/eV per atom
DFT formation energy ... 0.841 eV per atom
Energy above the lowest structure with this stoichiometry ... 571 meV/atom
ρ ... 8.02 g cm⁻³

11.
## Be3Tl4 (PBE-GGA)

Data for a relaxed Be3Tl4 crystal.

```
Be3Tl4
1.0
2.9504 0.0405 -3.8615
-4.0120 2.7426 0.0215
3.9973 5.8230 3.1152
Tl Be
4 3
Direct
0.6667 0.3333 0.5000
0.0000 0.0000 0.2059
0.0000 0.0000 0.7941
0.3333 0.6667 0.5000
0.5000 0.5000 0.0000
0.0000 0.5000 0.0000
0.5000 0.0000 0.0000
```

## Properties
Total energy ... -2.4015 eV/atom
Calculated volume ... 22.56 A^3/atom
Fermi-level density of states ... 0.37 states/eV per atom
DFT formation energy ... 0.548 eV per atom
Energy above the lowest structure with this stoichiometry ... 0 meV/atom
ρ ... 8.88 g cm⁻³

12.
## BeTl (PBE-GGA)

Data for a relaxed BeTl crystal.

```
BeTl
1.0
-2.4702 1.4996 -2.9772
2.2432 -1.9943 -2.8658
-1.4148 -4.5855 -1.1358
Tl Be
2 2
Direct
0.5000 0.2247 0.1738
0.0000 0.5253 0.5762
0.5000 0.9280 0.7748
0.0000 0.8220 0.9752
```

## Properties
Total energy ... -2.5065 eV/atom
Calculated volume ... 18.95 A^3/atom
Fermi-level density of states ... 0.27 states/eV per atom
DFT formation energy ... 0.540 eV per atom
Energy above the lowest structure with this stoichiometry ... 102 meV/atom
ρ ... 9.35 g cm⁻³

calculated volume of number 11 (Be3Tl4)? 22.56 A^3/atom

The highest ρ belongs to which entry? number 4

Among the records above, which one has the highest DFT formation energy? number 2

Look up the calculated volume of the second one. 29.88 A^3/atom